The following is a GGA+U calculation of crystalline Sr2UCrO6 at its relaxed geometry, from the Alexandria database.

a b c (Å): 5.8182 5.8290 8.2187
angles (deg): 90.00 89.78 90.00
Last column: nearest neighbours and their distance in Å.
Element x y z (fractional)
O: 0.4322 0.9865 0.7568  1 Cr 2.04, 1 U 2.15
O: 0.7880 0.7747 0.5351  1 Cr 2.04, 1 U 2.15
O: 0.0678 0.4865 0.7432  1 Cr 2.04, 1 U 2.15
O: 0.5678 0.0135 0.2432  1 Cr 2.04, 1 U 2.15
O: 0.2735 0.7132 0.4636  1 Cr 2.04, 1 U 2.15
O: 0.9322 0.5135 0.2568  1 Cr 2.04, 1 U 2.15
O: 0.2265 0.2132 0.0364  1 Cr 2.04, 1 U 2.15
O: 0.7265 0.2868 0.5364  1 Cr 2.04, 1 U 2.15
O: 0.2120 0.2253 0.4649  1 Cr 2.04, 1 U 2.15
O: 0.7735 0.7868 0.9636  1 Cr 2.04, 1 U 2.15
O: 0.2880 0.7253 0.0351  1 Cr 2.04, 1 U 2.15
O: 0.7120 0.2747 0.9649  1 Cr 2.04, 1 U 2.15
Cr: 0.5000 0.0000 0.0000  6 O 2.04
Cr: 0.0000 0.5000 0.5000  6 O 2.04
Sr: 0.0062 0.9733 0.2513  6 O 2.56-2.81
Sr: 0.9938 0.0267 0.7487  6 O 2.56-2.81
Sr: 0.4938 0.4733 0.2487  6 O 2.56-2.81
Sr: 0.5062 0.5267 0.7513  6 O 2.56-2.81
U: 0.0000 0.5000 0.0000  6 O 2.15
U: 0.5000 0.0000 0.5000  6 O 2.15

Results
Its symmetry is No. 14. Its energy above the most stable polymorph in this dataset is 0 meV per atom.